Material: TlV3O8
Method: DFT, GGA+U
State: optimized geometry

```
TlV3O8
1.0
5.157 0.000 0.000
0.000 8.727 0.000
-1.552 0.000 8.019
Tl V O
2 6 16
Cartesian
-0.644 2.182 3.569
4.249 6.545 4.449
-1.064 2.182 7.493
2.075 4.864 1.419
2.075 8.227 1.419
1.529 0.500 6.599
1.529 3.863 6.599
4.668 6.545 0.525
-1.013 6.545 7.282
0.360 5.272 1.692
0.360 7.818 1.692
0.142 0.783 7.994
0.142 3.580 7.994
0.884 2.182 6.047
1.041 4.840 5.380
1.041 8.251 5.380
2.564 0.476 2.639
2.564 3.887 2.639
2.720 6.545 1.972
3.462 5.147 0.024
3.462 7.944 0.024
3.245 0.909 6.327
3.245 3.455 6.327
4.618 2.182 0.737
```

Properties
Offset from the most stable computed form = 0 meV/atom
Space group = P2_1/m, No. 11